(1)
# Fe2TeH PBE relaxed
data_Fe2TeH
_chemical_formula_sum 'Fe4 Te2 H2'
_cell_length_a 4.6052
_cell_length_b 4.6052
_cell_length_c 6.0293
_cell_angle_alpha 67.55
_cell_angle_beta 67.55
_cell_angle_gamma 90.00
_symmetry_space_group_name_H-M 'P 1'
_symmetry_Int_Tables_number 1
loop_
_symmetry_equiv_pos_as_xyz
'x,y,z'
loop_
_atom_site_label
_atom_site_type_symbol
_atom_site_fract_x
_atom_site_fract_y
_atom_site_fract_z
_atom_site_occupancy
Te1 Te 0.0000 0.0000 0.0000 1
H1 H 0.2500 0.7500 0.5000 1
Fe1 Fe 0.4352 0.1250 0.2500 1
Te2 Te 0.7500 0.2500 0.5000 1
Fe2 Fe 0.3148 0.6250 0.2500 1
Fe3 Fe 0.8750 0.6852 0.7500 1
Fe4 Fe 0.3750 0.5648 0.7500 1
H2 H 0.5000 0.5000 0.0000 1
# * distance to the lowest polymorph of the same formula: 0.0 meV/atom
# * space-group type: I-42d

---

(2)
# CrSbSN2 PBE relaxed
data_CrSbSN2
_chemical_formula_sum 'Cr1 Sb1 S1 N2'
_cell_length_a 3.9509
_cell_length_b 3.9509
_cell_length_c 5.3508
_cell_angle_alpha 90.00
_cell_angle_beta 90.00
_cell_angle_gamma 90.00
_symmetry_space_group_name_H-M 'P 1'
_symmetry_Int_Tables_number 1
loop_
_symmetry_equiv_pos_as_xyz
'x,y,z'
loop_
_atom_site_label
_atom_site_type_symbol
_atom_site_fract_x
_atom_site_fract_y
_atom_site_fract_z
_atom_site_occupancy
Sb1 Sb 0.0000 0.0000 0.0000 1
S1 S 0.0000 0.0000 0.5000 1
N1 N 0.0000 0.5000 0.0000 1
N2 N 0.5000 0.0000 0.0000 1
Cr1 Cr 0.5000 0.5000 0.5000 1
# * distance to the lowest polymorph of the same formula: 672.5 meV/atom
# * formation energy (no corrections): 1.19 eV/atom
# * space-group type: P4/mmm

---

(3)
# V4NiC PBE relaxed
data_V4NiC
_chemical_formula_sum 'V8 Ni2 C2'
_cell_length_a 5.2135
_cell_length_b 5.2291
_cell_length_c 5.4751
_cell_angle_alpha 90.00
_cell_angle_beta 91.77
_cell_angle_gamma 90.00
_symmetry_space_group_name_H-M 'P 1'
_symmetry_Int_Tables_number 1
loop_
_symmetry_equiv_pos_as_xyz
'x,y,z'
loop_
_atom_site_label
_atom_site_type_symbol
_atom_site_fract_x
_atom_site_fract_y
_atom_site_fract_z
_atom_site_occupancy
V1 V 0.6690 0.6554 0.6062 1
C1 C 0.0000 0.5000 0.5000 1
V2 V 0.8993 0.6162 0.1711 1
V3 V 0.3993 0.8838 0.1711 1
C2 C 0.5000 0.0000 0.5000 1
V4 V 0.6007 0.1162 0.8289 1
Ni1 Ni 0.0000 0.0000 0.0000 1
Ni2 Ni 0.5000 0.5000 0.0000 1
V5 V 0.8310 0.1554 0.3938 1
V6 V 0.1007 0.3838 0.8289 1
V7 V 0.1690 0.8446 0.6062 1
V8 V 0.3310 0.3446 0.3938 1
# * formation energy: 30 meV/atom
# * space-group type: P2_1/c

---

(4)
# MgGaGe PBE relaxed
data_MgGaGe
_chemical_formula_sum 'Mg2 Ga2 Ge2'
_cell_length_a 3.1751
_cell_length_b 4.1069
_cell_length_c 9.1000
_cell_angle_alpha 90.00
_cell_angle_beta 101.86
_cell_angle_gamma 90.00
_symmetry_space_group_name_H-M 'P 1'
_symmetry_Int_Tables_number 1
loop_
_symmetry_equiv_pos_as_xyz
'x,y,z'
loop_
_atom_site_label
_atom_site_type_symbol
_atom_site_fract_x
_atom_site_fract_y
_atom_site_fract_z
_atom_site_occupancy
Mg1 Mg 0.3868 0.0000 0.1105 1
Ge1 Ge 0.7834 0.0000 0.4480 1
Ga1 Ga 0.9912 0.0000 0.7783 1
Mg2 Mg 0.3868 0.5000 0.6105 1
Ge2 Ge 0.7834 0.5000 0.9480 1
Ga2 Ga 0.9912 0.5000 0.2783 1
# * distance to the lowest polymorph of the same formula: 36.6 meV/atom
# * formation energy: -24 meV/atom
# * space-group type: Cm

---

(5)
# Na2SnTeS PBE relaxed
data_Na2SnTeS
_chemical_formula_sum 'Na2 Sn1 Te1 S1'
_cell_length_a 5.0904
_cell_length_b 5.0904
_cell_length_c 5.5716
_cell_angle_alpha 90.00
_cell_angle_beta 90.00
_cell_angle_gamma 90.00
_symmetry_space_group_name_H-M 'P 1'
_symmetry_Int_Tables_number 1
loop_
_symmetry_equiv_pos_as_xyz
'x,y,z'
loop_
_atom_site_label
_atom_site_type_symbol
_atom_site_fract_x
_atom_site_fract_y
_atom_site_fract_z
_atom_site_occupancy
S1 S 0.0000 0.0000 0.0000 1
Te1 Te 0.5000 0.5000 0.5000 1
Na1 Na 0.0000 0.5000 0.0000 1
Sn1 Sn 0.0000 0.0000 0.5000 1
Na2 Na 0.5000 0.0000 0.0000 1
# * formation energy (no corrections): -0.62 eV/atom
# * space-group type: P4/mmm

---

(6)
# DySbPd6 PBE relaxed
data_DySbPd6
_chemical_formula_sum 'Dy1 Sb1 Pd6'
_cell_length_a 5.4599
_cell_length_b 5.4599
_cell_length_c 7.5094
_cell_angle_alpha 68.68
_cell_angle_beta 68.68
_cell_angle_gamma 60.00
_symmetry_space_group_name_H-M 'P 1'
_symmetry_Int_Tables_number 1
loop_
_symmetry_equiv_pos_as_xyz
'x,y,z'
loop_
_atom_site_label
_atom_site_type_symbol
_atom_site_fract_x
_atom_site_fract_y
_atom_site_fract_z
_atom_site_occupancy
Sb1 Sb 0.0000 0.0000 0.0000 1
Pd1 Pd 0.4409 0.9306 0.6979 1
Pd2 Pd 0.9306 0.4409 0.6979 1
Dy1 Dy 0.5000 0.5000 0.5000 1
Pd3 Pd 0.9306 0.9306 0.6979 1
Pd4 Pd 0.0694 0.0694 0.3021 1
Pd5 Pd 0.0694 0.5591 0.3021 1
Pd6 Pd 0.5591 0.0694 0.3021 1
# * distance to the lowest polymorph of the same formula: 318.9 meV/atom
# * formation energy (no corrections): -0.30 eV/atom
# * space-group type: R-3m

---

(7)
# RhC2 PBE relaxed
data_RhC2
_chemical_formula_sum 'Rh3 C6'
_cell_length_a 5.7895
_cell_length_b 5.7895
_cell_length_c 2.9095
_cell_angle_alpha 90.00
_cell_angle_beta 90.00
_cell_angle_gamma 120.00
_symmetry_space_group_name_H-M 'P 1'
_symmetry_Int_Tables_number 1
loop_
_symmetry_equiv_pos_as_xyz
'x,y,z'
loop_
_atom_site_label
_atom_site_type_symbol
_atom_site_fract_x
_atom_site_fract_y
_atom_site_fract_z
_atom_site_occupancy
Rh1 Rh 0.0000 0.0000 0.5000 1
C1 C 0.6183 0.0000 0.5000 1
Rh2 Rh 0.6667 0.3333 0.0000 1
Rh3 Rh 0.3333 0.6667 0.0000 1
C2 C 0.0000 0.6183 0.5000 1
C3 C 0.0000 0.2701 0.0000 1
C4 C 0.7299 0.7299 0.0000 1
C5 C 0.2701 0.0000 0.0000 1
C6 C 0.3817 0.3817 0.5000 1
# * distance to the lowest polymorph of the same formula: 1653.0 meV/atom
# * formation energy: 2114 meV/atom
# * space-group type: P-62m

---

(8)
# In4IrW PBE relaxed
data_In4IrW
_chemical_formula_sum 'In4 Ir1 W1'
_cell_length_a 5.5795
_cell_length_b 5.5795
_cell_length_c 5.5795
_cell_angle_alpha 60.00
_cell_angle_beta 60.00
_cell_angle_gamma 60.00
_symmetry_space_group_name_H-M 'P 1'
_symmetry_Int_Tables_number 1
loop_
_symmetry_equiv_pos_as_xyz
'x,y,z'
loop_
_atom_site_label
_atom_site_type_symbol
_atom_site_fract_x
_atom_site_fract_y
_atom_site_fract_z
_atom_site_occupancy
In1 In 0.3751 0.3751 0.3751 1
In2 In 0.3751 0.8746 0.3751 1
In3 In 0.3751 0.3751 0.8746 1
Ir1 Ir 0.7500 0.7500 0.7500 1
In4 In 0.8746 0.3751 0.3751 1
W1 W 0.0000 0.0000 0.0000 1
# * formation energy: 1176 meV/atom
# * space-group type: F-43m

---

no.,energy (eV/atom),density of states at the Fermi level (states/eV/f.u.)
1,-5.618,3.695
2,-5.716,4.179
3,-8.550,6.530
4,-3.103,1.312
5,-3.407,0.213
6,-5.287,3.497
7,-6.486,2.099
8,-4.286,5.823